Computed, not measured: an optimized crystal structure of CeScZnIn at the PBE-GGA level of DFT.

a = 3.2811 Å, b = 3.2811 Å, c = 8.3794 Å
α = 90.00°, β = 90.00°, γ = 90.00°
Fractional positions:
1 Ce 0.0000 0.0000 0.0000
2 Sc 0.0000 0.0000 0.5415
3 Zn 0.5000 0.5000 0.7499
4 In 0.5000 0.5000 0.2910

Values from the calculation:
Energy of formation in eV per atom: -0.3420
Polymorph energy (0 for the lowest one) in eV/f.u.: 0.00


Computed, not measured: an optimized crystal structure of PmY6Ho4 at the PBE-GGA level of DFT.

a = 8.5141 Å, b = 8.5141 Å, c = 8.5141 Å
α = 127.11°, β = 127.11°, γ = 78.07°
Fractional positions:
1 Pm 0.0000 0.0000 0.0000
2 Y 0.0000 0.5000 0.5000
3 Y 0.0527 0.5727 0.0000
4 Y 0.4273 0.4273 0.4801
5 Y 0.5000 0.0000 0.5000
6 Y 0.5727 0.0527 0.0000
7 Y 0.9473 0.9473 0.5199
8 Ho 0.2597 0.2597 0.6747
9 Ho 0.4150 0.7403 0.0000
10 Ho 0.5850 0.5850 0.3253
11 Ho 0.7403 0.4150 0.0000

Values from the calculation:
Energy of formation in eV per atom: 0.4271
Polymorph energy (0 for the lowest one) in eV/f.u.: 3.39


Computed, not measured: an optimized crystal structure of Zn5NiAg2 at the PBE-GGA level of DFT.

a = 7.8494 Å, b = 7.8494 Å, c = 7.8494 Å
α = 150.32°, β = 150.32°, γ = 42.47°
Fractional positions:
1 Zn 0.0000 0.0000 0.0000
2 Zn 0.1137 0.6137 0.5000
3 Zn 0.3863 0.8863 0.5000
4 Zn 0.6137 0.1137 0.5000
5 Zn 0.8863 0.3863 0.5000
6 Ni 0.5000 0.5000 0.0000
7 Ag 0.2548 0.2548 0.0000
8 Ag 0.7452 0.7452 0.0000

Values from the calculation:
Energy of formation in eV per atom: -0.0825


Computed, not measured: an optimized crystal structure of Y2BeAl4Pt3 at the PBE-GGA level of DFT.

a = 4.1307 Å, b = 4.1307 Å, c = 10.6447 Å
α = 90.00°, β = 90.00°, γ = 90.00°
Fractional positions:
1 Y 0.0000 0.5000 0.2435
2 Y 0.5000 0.0000 0.7565
3 Be 0.5000 0.5000 0.0000
4 Al 0.0000 0.0000 0.5000
5 Al 0.0000 0.5000 0.8733
6 Al 0.5000 0.0000 0.1267
7 Al 0.5000 0.5000 0.5000
8 Pt 0.0000 0.0000 0.0000
9 Pt 0.0000 0.5000 0.6385
10 Pt 0.5000 0.0000 0.3615

Values from the calculation:
Energy of formation in eV per atom: -0.9330


Computed, not measured: an optimized crystal structure of RbN2Cl at the PBE-GGA level of DFT.

a = 5.8641 Å, b = 5.8641 Å, c = 5.8641 Å
α = 116.02°, β = 116.02°, γ = 97.04°
Fractional positions:
1 Rb 0.0000 0.0000 0.0000
2 Rb 0.7500 0.2500 0.5000
3 N 0.2828 0.6250 0.1578
4 N 0.3750 0.5328 0.6578
5 N 0.4672 0.1250 0.8422
6 N 0.8750 0.7172 0.3422
7 Cl 0.2500 0.7500 0.5000
8 Cl 0.5000 0.5000 0.0000

Values from the calculation:
Raw formation energy in eV/atom: 1.68
Polymorph energy (0 for the lowest one) in eV/f.u.: 10.35


Computed, not measured: an optimized crystal structure of AcHg2Pd at the PBE-GGA level of DFT.

a = 5.2400 Å, b = 5.2400 Å, c = 5.2400 Å
α = 60.00°, β = 60.00°, γ = 60.00°
Fractional positions:
1 Ac 0.0000 0.0000 0.0000
2 Hg 0.2500 0.2500 0.2500
3 Hg 0.7500 0.7500 0.7500
4 Pd 0.5000 0.5000 0.5000

Values from the calculation:
Energy of formation in eV per atom: -0.3943
Polymorph energy (0 for the lowest one) in eV/f.u.: 0.75


Computed, not measured: an optimized crystal structure of Hf2TlPt at the PBE-GGA level of DFT.

a = 8.5573 Å, b = 8.5573 Å, c = 8.5573 Å
α = 23.97°, β = 23.97°, γ = 23.97°
Fractional positions:
1 Hf 0.2361 0.2361 0.2361
2 Hf 0.7639 0.7639 0.7639
3 Tl 0.0000 0.0000 0.0000
4 Pt 0.5000 0.5000 0.5000

Values from the calculation:
Energy of formation in eV per atom: -0.3218
Polymorph energy (0 for the lowest one) in eV/f.u.: 0.00


Computed, not measured: an optimized crystal structure of Cs6AuOF at the PBE-GGA level of DFT.

a = 7.9508 Å, b = 7.9508 Å, c = 8.0950 Å
α = 90.00°, β = 90.00°, γ = 120.00°
Fractional positions:
1 Cs 0.0428 0.3489 0.2081
2 Cs 0.0428 0.6939 0.7919
3 Cs 0.3061 0.3489 0.7919
4 Cs 0.3061 0.9572 0.2081
5 Cs 0.6511 0.6939 0.2081
6 Cs 0.6511 0.9572 0.7919
7 Au 0.6667 0.3333 0.5000
8 O 0.3333 0.6667 0.0000
9 F 0.0000 0.0000 0.0000

Values from the calculation:
Raw formation energy in eV/atom: -0.96


Computed, not measured: an optimized crystal structure of TiSnHgBr6 at the PBE-GGA level of DFT.

a = 7.1128 Å, b = 7.1128 Å, c = 8.9046 Å
α = 90.00°, β = 90.00°, γ = 120.00°
Fractional positions:
1 Ti 0.0000 0.0000 0.0000
2 Sn 0.6667 0.3333 0.0000
3 Hg 0.3333 0.6667 0.5000
4 Br 0.2917 0.0044 0.1675
5 Br 0.2917 0.2873 0.8325
6 Br 0.7127 0.0044 0.8325
7 Br 0.7127 0.7083 0.1675
8 Br 0.9956 0.2873 0.1675
9 Br 0.9956 0.7083 0.8325

Values from the calculation:
Raw formation energy in eV/atom: -0.89


Computed, not measured: an optimized crystal structure of Sr3Sb at the PBE-GGA level of DFT.

a = 8.7497 Å, b = 10.6853 Å, c = 7.3994 Å
α = 90.00°, β = 90.00°, γ = 90.00°
Fractional positions:
1 Sr 0.0325 0.2500 0.1291
2 Sr 0.1790 0.0584 0.6623
3 Sr 0.1790 0.4416 0.6623
4 Sr 0.3210 0.5584 0.1623
5 Sr 0.3210 0.9416 0.1623
6 Sr 0.4675 0.7500 0.6291
7 Sr 0.5325 0.2500 0.3709
8 Sr 0.6790 0.0584 0.8377
9 Sr 0.6790 0.4416 0.8377
10 Sr 0.8210 0.5584 0.3377
11 Sr 0.8210 0.9416 0.3377
12 Sr 0.9675 0.7500 0.8709
13 Sb 0.1168 0.7500 0.4406
14 Sb 0.3832 0.2500 0.9406
15 Sb 0.6168 0.7500 0.0594
16 Sb 0.8832 0.2500 0.5594

Values from the calculation:
Raw formation energy in eV/atom: -0.59
Polymorph energy (0 for the lowest one) in eV/f.u.: 0.00


Computed, not measured: an optimized crystal structure of Sn2Pd4Au3 at the PBE-GGA level of DFT.

a = 4.8452 Å, b = 4.8452 Å, c = 8.7738 Å
α = 100.92°, β = 100.92°, γ = 51.33°
Fractional positions:
1 Sn 0.1693 0.1693 0.2195
2 Sn 0.8307 0.8307 0.7805
3 Pd 0.1705 0.1705 0.8884
4 Pd 0.4992 0.4992 0.6778
5 Pd 0.5008 0.5008 0.3222
6 Pd 0.8295 0.8295 0.1116
7 Au 0.1610 0.1610 0.5505
8 Au 0.5000 0.5000 0.0000
9 Au 0.8390 0.8390 0.4495

Values from the calculation:
Energy of formation in eV per atom: -0.3219


Computed, not measured: an optimized crystal structure of Zr2ScTiH at the PBE-GGA level of DFT.

a = 4.4985 Å, b = 4.4985 Å, c = 4.3462 Å
α = 90.00°, β = 90.00°, γ = 90.00°
Fractional positions:
1 Zr 0.0000 0.5000 0.0000
2 Zr 0.5000 0.0000 0.0000
3 Sc 0.0000 0.0000 0.5000
4 Ti 0.5000 0.5000 0.5000
5 H 0.5000 0.5000 0.0000

Values from the calculation:
Polymorph energy (0 for the lowest one) in eV/f.u.: 0.00


Computed, not measured: an optimized crystal structure of Na3ReW at the PBE-GGA level of DFT.

a = 5.2448 Å, b = 5.2448 Å, c = 5.2448 Å
α = 90.00°, β = 90.00°, γ = 90.00°
Fractional positions:
1 Na 0.0000 0.0000 0.5000
2 Na 0.0000 0.5000 0.0000
3 Na 0.5000 0.0000 0.0000
4 Re 0.0000 0.0000 0.0000
5 W 0.5000 0.5000 0.5000

Values from the calculation:
Energy of formation in eV per atom: 3.1356
Polymorph energy (0 for the lowest one) in eV/f.u.: 0.00


Computed, not measured: an optimized crystal structure of KGaNiN2 at the PBE-GGA level of DFT.

a = 4.1122 Å, b = 4.1122 Å, c = 4.5977 Å
α = 90.00°, β = 90.00°, γ = 90.00°
Fractional positions:
1 K 0.0000 0.0000 0.0000
2 Ga 0.5000 0.5000 0.5000
3 Ni 0.5000 0.5000 0.0000
4 N 0.0000 0.5000 0.5000
5 N 0.5000 0.0000 0.5000

Values from the calculation:
Raw formation energy in eV/atom: 1.25


Computed, not measured: an optimized crystal structure of TaBeTeN2 at the PBE-GGA level of DFT.

a = 3.9543 Å, b = 3.9543 Å, c = 5.9292 Å
α = 90.00°, β = 90.00°, γ = 90.00°
Fractional positions:
1 Ta 0.0000 0.0000 0.0000
2 Be 0.5000 0.5000 0.5000
3 Te 0.0000 0.0000 0.5000
4 N 0.0000 0.5000 0.0000
5 N 0.5000 0.0000 0.0000

Values from the calculation:
Raw formation energy in eV/atom: 0.44
Polymorph energy (0 for the lowest one) in eV/f.u.: 0.00


Computed, not measured: an optimized crystal structure of TlRuPb2O6 at the PBE-GGA level of DFT.

a = 5.6866 Å, b = 6.2559 Å, c = 10.0243 Å
α = 90.00°, β = 123.69°, γ = 90.00°
Fractional positions:
1 Tl 0.0000 0.0000 0.0000
2 Tl 0.0000 0.5000 0.5000
3 Ru 0.5000 0.0000 0.5000
4 Ru 0.5000 0.5000 0.0000
5 Pb 0.2208 0.0400 0.7294
6 Pb 0.2208 0.4600 0.2294
7 Pb 0.7792 0.5400 0.7706
8 Pb 0.7792 0.9600 0.2706
9 O 0.1783 0.1574 0.4762
10 O 0.1783 0.3426 0.9762
11 O 0.2426 0.7474 0.9096
12 O 0.2426 0.7526 0.4096
13 O 0.3926 0.0845 0.2850
14 O 0.3926 0.4155 0.7850
15 O 0.6074 0.5845 0.2150
16 O 0.6074 0.9155 0.7150
17 O 0.7574 0.2474 0.5904
18 O 0.7574 0.2526 0.0904
19 O 0.8217 0.6574 0.0238
20 O 0.8217 0.8426 0.5238

Values from the calculation:
Raw formation energy in eV/atom: -0.90


Computed, not measured: an optimized crystal structure of La3Tb6TmTh2 at the PBE-GGA level of DFT.

a = 6.2367 Å, b = 6.2367 Å, c = 11.9030 Å
α = 95.01°, β = 95.01°, γ = 119.99°
Fractional positions:
1 La 0.0000 0.0000 0.0000
2 La 0.3335 0.6665 0.0000
3 La 0.6665 0.3335 0.0000
4 Tb 0.0830 0.4193 0.2572
5 Tb 0.2446 0.2446 0.7430
6 Tb 0.4193 0.0830 0.2572
7 Tb 0.5807 0.9170 0.7428
8 Tb 0.7554 0.7554 0.2570
9 Tb 0.9170 0.5807 0.7428
10 Tm 0.5000 0.5000 0.5000
11 Th 0.1666 0.8334 0.5000
12 Th 0.8334 0.1666 0.5000

Values from the calculation:
Energy of formation in eV per atom: 0.0192


Computed, not measured: an optimized crystal structure of CuAs4Ir at the PBE-GGA level of DFT.

a = 5.3686 Å, b = 5.3686 Å, c = 5.3686 Å
α = 60.00°, β = 60.00°, γ = 60.00°
Fractional positions:
1 Cu 0.0000 0.0000 0.0000
2 As 0.3736 0.3736 0.3736
3 As 0.3736 0.3736 0.8792
4 As 0.3736 0.8792 0.3736
5 As 0.8792 0.3736 0.3736
6 Ir 0.7500 0.7500 0.7500

Values from the calculation:
Energy of formation in eV per atom: 0.8806


Computed, not measured: an optimized crystal structure of Er2ZrRu at the PBE-GGA level of DFT.

a = 3.3794 Å, b = 3.3794 Å, c = 8.0462 Å
α = 90.00°, β = 90.00°, γ = 90.00°
Fractional positions:
1 Er 0.0000 0.0000 0.2048
2 Er 0.0000 0.0000 0.7952
3 Zr 0.5000 0.5000 0.5000
4 Ru 0.5000 0.5000 0.0000

Values from the calculation:
Energy of formation in eV per atom: -0.1735
Polymorph energy (0 for the lowest one) in eV/f.u.: 0.00


Computed, not measured: an optimized crystal structure of FeSi2Au at the PBE-GGA level of DFT.

a = 4.3356 Å, b = 4.3356 Å, c = 4.3356 Å
α = 60.00°, β = 60.00°, γ = 60.00°
Fractional positions:
1 Fe 0.0000 0.0000 0.0000
2 Si 0.2500 0.2500 0.2500
3 Si 0.7500 0.7500 0.7500
4 Au 0.5000 0.5000 0.5000

Values from the calculation:
Raw formation energy in eV/atom: 0.33
Polymorph energy (0 for the lowest one) in eV/f.u.: 1.65


Computed, not measured: an optimized crystal structure of CdRh2 at the PBE-GGA level of DFT.

a = 12.4574 Å, b = 12.4574 Å, c = 12.4574 Å
α = 161.65°, β = 161.65°, γ = 26.06°
Fractional positions:
1 Cd 0.2930 0.5430 0.7500
2 Cd 0.4570 0.7070 0.7500
3 Cd 0.5430 0.2930 0.2500
4 Cd 0.7070 0.4570 0.2500
5 Rh 0.0455 0.7955 0.2500
6 Rh 0.1253 0.3753 0.7500
7 Rh 0.2045 0.9545 0.2500
8 Rh 0.3753 0.1253 0.2500
9 Rh 0.6247 0.8747 0.7500
10 Rh 0.7955 0.0455 0.7500
11 Rh 0.8747 0.6247 0.2500
12 Rh 0.9545 0.2045 0.7500

Values from the calculation:
Energy of formation in eV per atom: 0.0741


Computed, not measured: an optimized crystal structure of Tb6Nd3Dy2In at the PBE-GGA level of DFT.

a = 6.1686 Å, b = 6.1686 Å, c = 11.7237 Å
α = 95.05°, β = 95.05°, γ = 120.04°
Fractional positions:
1 Tb 0.0803 0.4076 0.2429
2 Tb 0.2468 0.2468 0.7557
3 Tb 0.4076 0.0803 0.2429
4 Tb 0.5924 0.9197 0.7571
5 Tb 0.7532 0.7532 0.2443
6 Tb 0.9197 0.5924 0.7571
7 Nd 0.1676 0.8324 0.5000
8 Nd 0.5000 0.5000 0.5000
9 Nd 0.8324 0.1676 0.5000
10 Dy 0.3338 0.6662 0.0000
11 Dy 0.6662 0.3338 0.0000
12 In 0.0000 0.0000 0.0000

Values from the calculation:
Energy of formation in eV per atom: -0.0395


Computed, not measured: an optimized crystal structure of TiNb2Hg at the PBE-GGA level of DFT.

a = 4.0125 Å, b = 4.0125 Å, c = 4.5338 Å
α = 90.00°, β = 90.00°, γ = 90.00°
Fractional positions:
1 Ti 0.0000 0.0000 0.0000
2 Nb 0.0000 0.5000 0.5000
3 Nb 0.5000 0.0000 0.5000
4 Hg 0.5000 0.5000 0.0000

Values from the calculation:
Energy of formation in eV per atom: 0.0576


Computed, not measured: an optimized crystal structure of LiNpCl4 at the PBE-GGA level of DFT.

a = 8.9404 Å, b = 8.9404 Å, c = 6.8992 Å
α = 105.40°, β = 105.40°, γ = 126.12°
Fractional positions:
1 Li 0.0065 0.9935 0.7500
2 Li 0.9935 0.0065 0.2500
3 Np 0.3234 0.6766 0.7500
4 Np 0.6766 0.3234 0.2500
5 Cl 0.0510 0.4574 0.2682
6 Cl 0.1697 0.2819 0.6677
7 Cl 0.2819 0.1697 0.1677
8 Cl 0.4574 0.0510 0.7682
9 Cl 0.5426 0.9490 0.2318
10 Cl 0.7181 0.8303 0.8323
11 Cl 0.8303 0.7181 0.3323
12 Cl 0.9490 0.5426 0.7318

Values from the calculation:
Raw formation energy in eV/atom: -1.72
Polymorph energy (0 for the lowest one) in eV/f.u.: 0.00